# 1
# LiTcAg2

An optimized crystal structure of LiTcAg2 (PBEsol, Alexandria).

```
LiTcAg2
1.0
4.625 -1.299 0.000
4.625 1.299 0.000
-0.555 0.000 5.092
Li Tc Ag
1 1 2
direct
0.000 0.000 0.000
0.500 0.500 0.500
0.247 0.247 0.751
0.753 0.753 0.249
```

- Excess energy over the best structure of this formula in the dataset: 151 meV/atom
- Theoretical density: 8.705 Mg/m³
- Symmetry: C2/m (12)
- Formation energy: 0.4116 eV per atom


# 2
# GaHgSN2

An optimized crystal structure of GaHgSN2 (PBEsol, Alexandria).

```
GaHgSN2
1.0
4.158 0.000 0.000
0.000 4.158 0.000
0.000 0.000 5.456
Ga Hg S N
1 1 1 2
direct
0.000 0.000 0.000
0.500 0.500 0.500
0.500 0.500 0.000
0.000 0.500 0.500
0.500 0.000 0.500
```

- Theoretical density: 5.817 Mg/m³
- Symmetry: P4/mmm (123)
- Formation energy from raw total energies: 1749 meV per atom


# 3
# LaB2Rh3

An optimized crystal structure of LaB2Rh3 (PBEsol, Alexandria).

```
LaB2Rh3
1.0
5.459 0.000 0.000
-2.730 4.728 0.000
0.000 0.000 3.093
La B Rh
1 2 3
direct
0.000 0.000 0.000
0.333 0.667 0.000
0.667 0.333 0.000
0.000 0.500 0.500
0.500 0.000 0.500
0.500 0.500 0.500
```

- Theoretical density: 9.761 Mg/m³
- Symmetry: P6/mmm (191)
- Formation energy: -0.7074 eV per atom


# 4
# La2S3

An optimized crystal structure of La2S3 (PBEsol, Alexandria).

```
La2S3
1.0
7.484 0.000 0.000
0.000 4.116 0.000
0.000 0.000 15.633
La S
8 12
direct
0.145 0.250 0.205
0.236 0.750 0.456
0.264 0.250 0.956
0.355 0.750 0.705
0.645 0.250 0.295
0.736 0.750 0.044
0.764 0.250 0.544
0.855 0.750 0.795
0.009 0.250 0.390
0.129 0.750 0.067
0.145 0.250 0.780
0.355 0.750 0.280
0.371 0.250 0.567
0.491 0.750 0.890
0.509 0.250 0.110
0.629 0.750 0.433
0.645 0.250 0.720
0.855 0.750 0.220
0.871 0.250 0.933
0.991 0.750 0.610
```

- Theoretical density: 5.159 Mg/m³
- Symmetry: Pnma (62)
- Formation energy from raw total energies: -2232 meV per atom


# 5
# FeReP

An optimized crystal structure of FeReP (PBEsol, Alexandria).

```
FeReP
1.0
3.834 0.000 0.000
-1.917 3.321 0.000
0.000 0.000 2.795
Fe Re P
1 1 1
direct
0.000 0.000 0.000
0.667 0.333 0.500
0.333 0.667 0.000
```

- Theoretical density: 12.740 Mg/m³
- Symmetry: P-6m2 (187)
- Formation energy: -0.1081 eV per atom


# 6
# LaEr2Se4

An optimized crystal structure of LaEr2Se4 (PBEsol, Alexandria).

```
LaEr2Se4
1.0
-4.327 4.327 4.320
4.327 -4.327 4.320
4.327 4.327 -4.320
La Er Se
2 4 8
direct
0.000 0.000 0.000
0.750 0.250 0.500
0.262 0.625 0.137
0.375 0.512 0.637
0.488 0.125 0.863
0.875 0.738 0.363
0.134 0.731 0.748
0.137 0.233 0.752
0.269 0.017 0.403
0.481 0.384 0.248
0.613 0.866 0.597
0.616 0.863 0.097
0.767 0.519 0.903
0.983 0.387 0.252
```

- Theoretical density: 8.103 Mg/m³
- Symmetry: I-42d (122)
- Formation energy from raw total energies: -1870 meV per atom


# 7
# NaPPdRh2

An optimized crystal structure of NaPPdRh2 (PBEsol, Alexandria).

```
NaPPdRh2
1.0
4.263 0.000 0.000
0.000 4.263 0.000
0.000 0.000 4.821
Na P Pd Rh
1 1 1 2
direct
0.000 0.000 0.000
0.000 0.000 0.500
0.500 0.500 0.000
0.000 0.500 0.500
0.500 0.000 0.500
```

- Theoretical density: 6.939 Mg/m³
- Symmetry: P4/mmm (123)
- Formation energy: 0.2794 eV per atom


# 8
# CsSbP2O

An optimized crystal structure of CsSbP2O (PBEsol, Alexandria).

```
CsSbP2O
1.0
5.341 0.000 0.000
0.000 5.341 0.000
0.000 0.000 4.212
Cs Sb P O
1 1 2 1
direct
0.000 0.000 0.000
0.500 0.500 0.500
0.000 0.500 0.000
0.500 0.000 0.000
0.000 0.000 0.500
```

- Theoretical density: 4.596 Mg/m³
- Symmetry: P4/mmm (123)
- Formation energy from raw total energies: 1345 meV per atom


# 9
# ReNiMo2

An optimized crystal structure of ReNiMo2 (PBEsol, Alexandria).

```
ReNiMo2
1.0
3.816 0.000 0.000
0.000 3.816 0.000
0.000 0.000 3.801
Re Ni Mo
1 1 2
direct
0.000 0.000 0.000
0.500 0.500 0.000
0.000 0.500 0.500
0.500 0.000 0.500
```

- Excess energy over the best structure of this formula in the dataset: 0 meV/atom
- Theoretical density: 13.105 Mg/m³
- Symmetry: P4/mmm (123)
- Formation energy: 0.0260 eV per atom


# 10
# AsSe2

An optimized crystal structure of AsSe2 (PBEsol, Alexandria).

```
AsSe2
1.0
-1.732 1.732 10.332
1.732 -1.732 10.332
1.732 1.732 -10.332
As Se
2 4
direct
0.375 0.625 0.750
0.625 0.375 0.250
0.052 0.802 0.250
0.198 0.948 0.250
0.802 0.052 0.750
0.948 0.198 0.750
```

- Theoretical density: 6.234 Mg/m³
- Symmetry: I4_1/amd (141)
- Formation energy from raw total energies: 272 meV per atom


# 11
# PrMgPt

An optimized crystal structure of PrMgPt (PBEsol, Alexandria).

```
PrMgPt
1.0
7.515 0.000 0.000
-3.758 6.508 0.000
0.000 0.000 4.102
Pr Mg Pt
3 3 3
direct
0.000 0.412 0.000
0.412 0.000 0.000
0.588 0.588 0.000
0.000 0.759 0.500
0.241 0.241 0.500
0.759 0.000 0.500
0.000 0.000 0.000
0.333 0.667 0.500
0.667 0.333 0.500
```

- Theoretical density: 8.947 Mg/m³
- Symmetry: P-62m (189)
- Formation energy: -0.8388 eV per atom


# 12
# MnCrFe2

An optimized crystal structure of MnCrFe2 (PBEsol, Alexandria).

```
MnCrFe2
1.0
-1.426 1.924 3.975
1.426 -1.924 3.975
1.426 1.924 -3.975
Mn Cr Fe
1 1 2
direct
0.000 0.000 0.000
0.500 0.500 0.000
0.251 0.751 0.500
0.749 0.249 0.500
```

- Theoretical density: 8.320 Mg/m³
- Symmetry: Immm (71)
- Formation energy: 0.0859 eV per atom


# 13
# TiCd3Os

An optimized crystal structure of TiCd3Os (PBEsol, Alexandria).

```
TiCd3Os
1.0
5.001 0.000 0.000
0.000 5.001 0.000
0.000 0.000 5.001
Ti Cd Os
1 3 1
direct
0.000 0.000 0.000
0.000 0.000 0.500
0.000 0.500 0.000
0.500 0.000 0.000
0.500 0.500 0.500
```

- Excess energy over the best structure of this formula in the dataset: 844 meV/atom
- Theoretical density: 7.637 Mg/m³
- Symmetry: Pm-3m (221)
- Formation energy: 2.0681 eV per atom


# 14
# Be2FeRu

An optimized crystal structure of Be2FeRu (PBEsol, Alexandria).

```
Be2FeRu
1.0
-1.369 1.866 3.831
1.369 -1.866 3.831
1.369 1.866 -3.831
Be Fe Ru
2 1 1
direct
0.000 0.000 0.000
0.771 0.271 0.500
0.249 0.749 0.500
0.512 0.512 0.000
```

- Theoretical density: 7.421 Mg/m³
- Symmetry: Imm2 (44)
- Formation energy: -0.1166 eV per atom


# 15
# SrGeO2

An optimized crystal structure of SrGeO2 (PBEsol, Alexandria).

```
SrGeO2
1.0
1.684 0.972 6.599
-1.684 0.972 6.599
0.000 -1.944 6.599
Sr Ge O
1 1 2
direct
0.000 0.000 0.000
0.500 0.500 0.500
0.120 0.120 0.120
0.880 0.880 0.880
```

- Theoretical density: 4.927 Mg/m³
- Symmetry: R-3m (166)
- Formation energy from raw total energies: -1009 meV per atom


# 16
# CaSc2BeAl

An optimized crystal structure of CaSc2BeAl (PBEsol, Alexandria).

```
CaSc2BeAl
1.0
4.840 0.000 0.000
0.000 4.840 0.000
0.000 0.000 5.164
Ca Sc Be Al
1 2 1 1
direct
0.000 0.000 0.000
0.000 0.500 0.000
0.500 0.000 0.000
0.500 0.500 0.500
0.000 0.000 0.500
```

- Theoretical density: 2.278 Mg/m³
- Symmetry: P4/mmm (123)
- Formation energy: 1.5891 eV per atom


# 17
# ScIr3

An optimized crystal structure of ScIr3 (PBEsol, Alexandria).

```
ScIr3
1.0
-1.942 1.942 7.863
1.942 -1.942 7.863
1.942 1.942 -7.863
Sc Ir
2 6
direct
0.120 0.120 0.000
0.880 0.880 0.000
0.000 0.500 0.500
0.250 0.750 0.500
0.373 0.373 0.000
0.500 0.000 0.500
0.627 0.627 0.000
0.750 0.250 0.500
```

- Theoretical density: 17.400 Mg/m³
- Symmetry: I4/mmm (139)
- Formation energy: -0.5719 eV per atom


# 18
# Na3LiB

An optimized crystal structure of Na3LiB (PBEsol, Alexandria).

```
Na3LiB
1.0
5.174 0.000 0.000
0.000 5.174 0.000
0.000 0.000 5.174
Na Li B
3 1 1
direct
0.000 0.000 0.500
0.000 0.500 0.000
0.500 0.000 0.000
0.500 0.500 0.500
0.000 0.000 0.000
```

- Theoretical density: 1.040 Mg/m³
- Symmetry: Pm-3m (221)
- Formation energy: 0.7187 eV per atom


# 19
# Rb2Mo15Se19

An optimized crystal structure of Rb2Mo15Se19 (PBEsol, Alexandria).

```
Rb2Mo15Se19
1.0
4.845 2.797 19.377
-4.845 2.797 19.377
0.000 -5.595 19.377
Rb Mo Se
4 30 38
direct
0.113 0.113 0.113
0.387 0.387 0.387
0.613 0.613 0.613
0.887 0.887 0.887
0.002 0.127 0.813
0.048 0.363 0.221
0.091 0.250 0.409
0.127 0.813 0.002
0.137 0.452 0.279
0.187 0.998 0.873
0.221 0.048 0.363
0.250 0.409 0.091
0.279 0.137 0.452
0.313 0.627 0.502
0.363 0.221 0.048
0.373 0.498 0.687
0.409 0.091 0.250
0.452 0.279 0.137
0.498 0.687 0.373
0.502 0.313 0.627
0.548 0.721 0.863
0.591 0.909 0.750
0.627 0.502 0.313
0.637 0.779 0.952
0.687 0.373 0.498
0.721 0.863 0.548
0.750 0.591 0.909
0.779 0.952 0.637
0.813 0.002 0.127
0.863 0.548 0.721
0.873 0.187 0.998
0.909 0.750 0.591
0.952 0.637 0.779
0.998 0.873 0.187
0.030 0.694 0.420
0.054 0.054 0.054
0.055 0.304 0.691
0.057 0.443 0.750
0.080 0.806 0.470
0.176 0.176 0.176
0.191 0.804 0.555
0.194 0.530 0.920
0.196 0.445 0.809
0.250 0.943 0.557
0.304 0.691 0.055
0.306 0.580 0.970
0.309 0.945 0.696
0.324 0.324 0.324
0.420 0.030 0.694
0.443 0.750 0.057
0.445 0.809 0.196
0.446 0.446 0.446
0.470 0.080 0.806
0.530 0.920 0.194
0.554 0.554 0.554
0.555 0.191 0.804
0.557 0.250 0.943
0.580 0.970 0.306
0.676 0.676 0.676
0.691 0.055 0.304
0.694 0.420 0.030
0.696 0.309 0.945
0.750 0.057 0.443
0.804 0.555 0.191
0.806 0.470 0.080
0.809 0.196 0.445
0.824 0.824 0.824
0.920 0.194 0.530
0.943 0.557 0.250
0.945 0.696 0.309
0.946 0.946 0.946
0.970 0.306 0.580
```

- Theoretical density: 6.555 Mg/m³
- Symmetry: R-3c (167)
- Formation energy from raw total energies: -627 meV per atom


# 20
# CoBiIrSe2

An optimized crystal structure of CoBiIrSe2 (PBEsol, Alexandria).

```
CoBiIrSe2
1.0
4.855 0.000 0.000
0.000 4.855 0.000
0.000 0.000 4.579
Co Bi Ir Se
1 1 1 2
direct
0.000 0.000 0.000
0.500 0.500 0.000
0.000 0.000 0.500
0.000 0.500 0.500
0.500 0.000 0.500
```

- Theoretical density: 9.511 Mg/m³
- Symmetry: P4/mmm (123)
- Formation energy from raw total energies: 635 meV per atom